# Ac3ZnAu4 PBE-GGA relaxed
data_Ac3ZnAu4
_symmetry_space_group_name_H-M 'P 1'
_symmetry_Int_Tables_number 1
_cell_length_a 4.434
_cell_length_b 7.266
_cell_length_c 8.540
_cell_angle_alpha 115.18
_cell_angle_beta 105.05
_cell_angle_gamma 90.00
loop_
_symmetry_equiv_pos_as_xyz
'x,y,z'
loop_
_atom_site_label
_atom_site_type_symbol
_atom_site_fract_x
_atom_site_fract_y
_atom_site_fract_z
Au1 Au 0.381 0.594 0.762
Ac1 Ac 0.191 0.191 0.382
Zn1 Zn 0.500 0.000 0.000
Au2 Au 0.381 0.169 0.762
Au3 Au 0.619 0.831 0.238
Ac2 Ac 0.809 0.809 0.618
Ac3 Ac 0.000 0.500 0.000
Au4 Au 0.619 0.406 0.238
# Energy of formation: -673.5 meV per atom
# Energy: -4.0121 eV per atom
# Spin magnetization: 0.000 μB per formula unit
# Volume: 29.82 A^3/atom



# MgIn2HgPb PBE-GGA relaxed
data_MgIn2HgPb
_symmetry_space_group_name_H-M 'P 1'
_symmetry_Int_Tables_number 1
_cell_length_a 4.574
_cell_length_b 4.574
_cell_length_c 13.448
_cell_angle_alpha 90.00
_cell_angle_beta 90.00
_cell_angle_gamma 90.00
loop_
_symmetry_equiv_pos_as_xyz
'x,y,z'
loop_
_atom_site_label
_atom_site_type_symbol
_atom_site_fract_x
_atom_site_fract_y
_atom_site_fract_z
Hg1 Hg 0.500 0.000 0.130
Mg1 Mg 0.000 0.000 0.500
In1 In 0.500 0.000 0.345
In2 In 0.000 0.500 0.088
Mg2 Mg 0.500 0.500 0.500
Pb1 Pb 0.000 0.500 0.325
Pb2 Pb 0.500 0.000 0.675
In3 In 0.000 0.500 0.655
Hg2 Hg 0.000 0.500 0.870
In4 In 0.500 0.000 0.912
# Energy of formation: 23.4 meV per atom
# Energy: -2.1929 eV per atom
# Spin magnetization: 0.000 μB per formula unit
# Volume: 28.14 A^3/atom



# Zr2TeCl PBE-GGA relaxed
data_Zr2TeCl
_symmetry_space_group_name_H-M 'P 1'
_symmetry_Int_Tables_number 1
_cell_length_a 4.763
_cell_length_b 4.763
_cell_length_c 5.907
_cell_angle_alpha 76.74
_cell_angle_beta 76.74
_cell_angle_gamma 42.71
loop_
_symmetry_equiv_pos_as_xyz
'x,y,z'
loop_
_atom_site_label
_atom_site_type_symbol
_atom_site_fract_x
_atom_site_fract_y
_atom_site_fract_z
Zr1 Zr 0.508 0.508 0.490
Zr2 Zr 0.992 0.992 0.010
Te1 Te 0.750 0.750 0.750
Cl1 Cl 0.250 0.250 0.250
# Energy: -6.0802 eV per atom
# Energy relative to the lowest polymorph listed for this composition: 303 meV per atom
# Spin magnetization: 0.000 μB per formula unit
# Volume: 22.02 A^3/atom
# Uncorrected formation energy: -0.56 eV per atom



# La4In2HgAu PBE-GGA relaxed
data_La4In2HgAu
_symmetry_space_group_name_H-M 'P 1'
_symmetry_Int_Tables_number 1
_cell_length_a 5.533
_cell_length_b 5.533
_cell_length_c 9.583
_cell_angle_alpha 73.22
_cell_angle_beta 73.22
_cell_angle_gamma 60.00
loop_
_symmetry_equiv_pos_as_xyz
'x,y,z'
loop_
_atom_site_label
_atom_site_type_symbol
_atom_site_fract_x
_atom_site_fract_y
_atom_site_fract_z
In1 In 0.254 0.254 0.239
La1 La 0.871 0.871 0.387
In2 In 0.746 0.746 0.761
Hg1 Hg 0.000 0.000 0.000
La2 La 0.621 0.621 0.138
La3 La 0.129 0.129 0.613
Au1 Au 0.500 0.500 0.500
La4 La 0.379 0.379 0.862
# Energy of formation: -547.2 meV per atom
# Energy: -4.1430 eV per atom
# Spin magnetization: 1.018 μB per formula unit
# Volume: 29.94 A^3/atom



# Tm2Au13 PBE-GGA relaxed
data_Tm2Au13
_symmetry_space_group_name_H-M 'P 1'
_symmetry_Int_Tables_number 1
_cell_length_a 7.428
_cell_length_b 7.428
_cell_length_c 7.729
_cell_angle_alpha 61.28
_cell_angle_beta 61.28
_cell_angle_gamma 60.00
loop_
_symmetry_equiv_pos_as_xyz
'x,y,z'
loop_
_atom_site_label
_atom_site_type_symbol
_atom_site_fract_x
_atom_site_fract_y
_atom_site_fract_z
Au1 Au 0.661 0.041 0.636
Au2 Au 0.041 0.661 0.636
Au3 Au 0.801 0.191 0.817
Au4 Au 0.809 0.809 0.183
Au5 Au 0.339 0.339 0.364
Au6 Au 0.191 0.801 0.817
Au7 Au 0.959 0.339 0.364
Au8 Au 0.339 0.959 0.364
Tm1 Tm 0.338 0.338 0.987
Au9 Au 0.500 0.500 0.500
Au10 Au 0.191 0.191 0.817
Au11 Au 0.199 0.809 0.183
Au12 Au 0.809 0.199 0.183
Tm2 Tm 0.662 0.662 0.013
Au13 Au 0.661 0.661 0.636
# Energy of formation: -258.0 meV per atom
# Energy: -3.6946 eV per atom
# Spin magnetization: 0.000 μB per formula unit
# Volume: 20.48 A^3/atom



# KNaAl2Pb PBE-GGA relaxed
data_KNaAl2Pb
_symmetry_space_group_name_H-M 'P 1'
_symmetry_Int_Tables_number 1
_cell_length_a 5.483
_cell_length_b 5.646
_cell_length_c 5.483
_cell_angle_alpha 90.00
_cell_angle_beta 90.00
_cell_angle_gamma 90.00
loop_
_symmetry_equiv_pos_as_xyz
'x,y,z'
loop_
_atom_site_label
_atom_site_type_symbol
_atom_site_fract_x
_atom_site_fract_y
_atom_site_fract_z
K1 K 0.500 0.500 0.500
Na1 Na 0.000 0.000 0.000
Al1 Al 0.000 0.000 0.500
Pb1 Pb 0.000 0.500 0.000
Al2 Al 0.500 0.000 0.000
# Energy of formation: 618.8 meV per atom
# Energy: -2.1032 eV per atom
# Spin magnetization: 0.000 μB per formula unit
# Volume: 33.94 A^3/atom



# MgNi6Ge6 PBE-GGA relaxed
data_MgNi6Ge6
_symmetry_space_group_name_H-M 'P 1'
_symmetry_Int_Tables_number 1
_cell_length_a 5.100
_cell_length_b 5.100
_cell_length_c 7.882
_cell_angle_alpha 90.00
_cell_angle_beta 90.00
_cell_angle_gamma 120.00
loop_
_symmetry_equiv_pos_as_xyz
'x,y,z'
loop_
_atom_site_label
_atom_site_type_symbol
_atom_site_fract_x
_atom_site_fract_y
_atom_site_fract_z
Ni1 Ni 0.500 0.500 0.750
Ge1 Ge 0.667 0.333 0.000
Mg1 Mg 0.000 0.000 0.000
Ge2 Ge 0.667 0.333 0.500
Ge3 Ge 0.000 0.000 0.339
Ge4 Ge 0.333 0.667 0.500
Ge5 Ge 0.000 0.000 0.661
Ni2 Ni 0.500 0.000 0.250
Ni3 Ni 0.500 0.000 0.750
Ni4 Ni 0.500 0.500 0.250
Ni5 Ni 0.000 0.500 0.750
Ge6 Ge 0.333 0.667 0.000
Ni6 Ni 0.000 0.500 0.250
# Energy of formation: -266.6 meV per atom
# Energy: -5.1886 eV per atom
# Spin magnetization: 0.000 μB per formula unit
# Volume: 13.66 A^3/atom



# Hg3SbPb6 PBE-GGA relaxed
data_Hg3SbPb6
_symmetry_space_group_name_H-M 'P 1'
_symmetry_Int_Tables_number 1
_cell_length_a 4.097
_cell_length_b 11.286
_cell_length_c 14.615
_cell_angle_alpha 113.91
_cell_angle_beta 90.00
_cell_angle_gamma 90.00
loop_
_symmetry_equiv_pos_as_xyz
'x,y,z'
loop_
_atom_site_label
_atom_site_type_symbol
_atom_site_fract_x
_atom_site_fract_y
_atom_site_fract_z
Sb1 Sb 0.250 0.920 0.205
Pb1 Pb 0.750 0.426 0.553
Pb2 Pb 0.250 0.969 0.603
Pb3 Pb 0.250 0.246 0.340
Pb4 Pb 0.250 0.303 0.797
Pb5 Pb 0.750 0.887 0.027
Pb6 Pb 0.250 0.574 0.447
Hg1 Hg 0.250 0.460 0.208
Hg2 Hg 0.750 0.540 0.792
Pb7 Pb 0.750 0.754 0.660
Sb2 Sb 0.750 0.080 0.795
Pb8 Pb 0.250 0.113 0.973
Hg3 Hg 0.750 0.776 0.431
Pb9 Pb 0.250 0.624 0.993
Hg4 Hg 0.250 0.781 0.834
Pb10 Pb 0.750 0.031 0.397
Pb11 Pb 0.750 0.697 0.203
Pb12 Pb 0.750 0.376 0.007
Hg5 Hg 0.750 0.219 0.166
Hg6 Hg 0.250 0.224 0.569
# Energy: -2.6817 eV per atom
# Spin magnetization: 0.000 μB per formula unit
# Volume: 30.89 A^3/atom
# Uncorrected formation energy: 0.05 eV per atom



# LaSm2ThP4 PBE-GGA relaxed
data_LaSm2ThP4
_symmetry_space_group_name_H-M 'P 1'
_symmetry_Int_Tables_number 1
_cell_length_a 4.159
_cell_length_b 7.180
_cell_length_c 7.208
_cell_angle_alpha 70.54
_cell_angle_beta 90.00
_cell_angle_gamma 90.00
loop_
_symmetry_equiv_pos_as_xyz
'x,y,z'
loop_
_atom_site_label
_atom_site_type_symbol
_atom_site_fract_x
_atom_site_fract_y
_atom_site_fract_z
Th1 Th 0.000 0.500 0.500
P1 P 0.500 0.752 0.254
P2 P 0.000 0.754 0.743
P3 P 0.500 0.248 0.746
La1 La 0.500 0.500 0.000
Sm1 Sm 0.500 0.000 0.500
P4 P 0.000 0.246 0.257
Sm2 Sm 0.000 0.000 0.000
# Energy of formation: -1591.1 meV per atom
# Energy: -7.0192 eV per atom
# Spin magnetization: 0.000 μB per formula unit
# Volume: 25.36 A^3/atom



# La2Nd4TmTh PBE-GGA relaxed
data_La2Nd4TmTh
_symmetry_space_group_name_H-M 'P 1'
_symmetry_Int_Tables_number 1
_cell_length_a 6.131
_cell_length_b 6.117
_cell_length_c 9.560
_cell_angle_alpha 50.29
_cell_angle_beta 90.00
_cell_angle_gamma 90.00
loop_
_symmetry_equiv_pos_as_xyz
'x,y,z'
loop_
_atom_site_label
_atom_site_type_symbol
_atom_site_fract_x
_atom_site_fract_y
_atom_site_fract_z
La1 La 0.000 0.000 0.000
Nd1 Nd 0.500 0.255 0.745
Nd2 Nd 0.500 0.745 0.255
Nd3 Nd 0.000 0.755 0.746
La2 La 0.500 0.000 0.500
Nd4 Nd 0.000 0.245 0.254
Tm1 Tm 0.500 0.500 0.000
Th1 Th 0.000 0.500 0.500
# Energy of formation: 129.0 meV per atom
# Energy: -4.9732 eV per atom
# Spin magnetization: 0.000 μB per formula unit
# Volume: 34.48 A^3/atom



# CeNdDy3 PBE-GGA relaxed
data_CeNdDy3
_symmetry_space_group_name_H-M 'P 1'
_symmetry_Int_Tables_number 1
_cell_length_a 6.194
_cell_length_b 9.425
_cell_length_c 9.426
_cell_angle_alpha 130.03
_cell_angle_beta 102.69
_cell_angle_gamma 109.02
loop_
_symmetry_equiv_pos_as_xyz
'x,y,z'
loop_
_atom_site_label
_atom_site_type_symbol
_atom_site_fract_x
_atom_site_fract_y
_atom_site_fract_z
Ce1 Ce 0.951 0.904 0.259
Dy1 Dy 0.851 0.704 0.754
Dy2 Dy 0.743 0.502 0.248
Dy3 Dy 0.257 0.498 0.752
Dy4 Dy 0.149 0.296 0.246
Dy5 Dy 0.653 0.302 0.752
Dy6 Dy 0.347 0.698 0.248
Ce2 Ce 0.049 0.096 0.741
Nd1 Nd 0.550 0.099 0.252
Nd2 Nd 0.450 0.901 0.748
# Energy of formation: 65.2 meV per atom
# Energy: -4.8364 eV per atom
# Spin magnetization: 1.177 μB per formula unit
# Volume: 32.08 A^3/atom